Record 1
VASP calculation (PBE-GGA) on a relaxed structure of LiInGaRh.

Lattice parameters (Å, degrees): 4.469 4.469 4.469 60.00 60.00 60.00
Fractional positions:
In1 0.750 0.750 0.750
Rh1 0.000 0.000 0.000
Ga1 0.250 0.250 0.250
Li1 0.500 0.500 0.500

Calculated values
For the formation enthalpy at 0 K, the calculation gives -0.444 eV/atom. Its space group is F-43m (216). As for the crystal system: cubic.

=====

Record 2
VASP calculation (PBE-GGA) on a relaxed structure of LiInGa2Rh.

Lattice parameters (Å, degrees): 4.777 4.809 4.777 90.00 90.00 90.00
Fractional positions:
Li1 0.000 0.500 0.000
Ga1 0.500 0.000 0.000
Ga2 0.000 0.000 0.500
Rh1 0.000 0.000 0.000
In1 0.500 0.500 0.500

Calculated values
For the formation enthalpy at 0 K, the calculation gives -0.149 eV/atom. Its space group is P4/mmm (123). As for the crystal system: tetragonal.

=====

Record 3
VASP calculation (PBE-GGA) on a relaxed structure of Li2InGaSn.

Lattice parameters (Å, degrees): 4.254 6.859 7.010 92.89 90.00 90.00
Fractional positions:
Ga1 0.250 0.548 0.646
Ga2 0.750 0.452 0.354
Li1 0.250 0.162 0.453
Li2 0.750 0.652 0.953
Li3 0.250 0.348 0.047
Li4 0.750 0.838 0.547
Sn1 0.250 0.934 0.833
Sn2 0.750 0.066 0.167
In1 0.750 0.265 0.739
In2 0.250 0.735 0.261

Calculated values
For the formation enthalpy at 0 K, the calculation gives -0.213 eV/atom. Its space group is P2_1/m (11). As for the crystal system: monoclinic.

=====

Record 4
VASP calculation (PBE-GGA) on a relaxed structure of LiInGaSn.

Lattice parameters (Å, degrees): 5.033 5.033 5.033 60.00 60.00 60.00
Fractional positions:
Ga1 0.500 0.500 0.500
Sn1 0.250 0.250 0.250
Li1 0.000 0.000 0.000
In1 0.750 0.750 0.750

Calculated values
The value obtained for the energy above the most stable polymorph in this dataset is 56 meV/atom. For the formation enthalpy at 0 K, the calculation gives -0.070 eV/atom. Its space group is F-43m (216). As for the crystal system: cubic.

=====

Record 5
VASP calculation (PBE-GGA) on a relaxed structure of LiInGaSn.

Lattice parameters (Å, degrees): 4.362 4.362 5.583 113.00 113.00 90.00
Fractional positions:
In1 0.000 0.000 0.000
Li1 0.500 0.500 0.000
Ga1 0.750 0.250 0.500
Sn1 0.250 0.750 0.500

Calculated values
The value obtained for the energy above the most stable polymorph in this dataset is 0 meV/atom. For the formation enthalpy at 0 K, the calculation gives -0.126 eV/atom. Its space group is I-4m2 (119). As for the crystal system: tetragonal.

=====

Record 6
VASP calculation (PBE-GGA) on a relaxed structure of SrLiInGa.

Lattice parameters (Å, degrees): 4.654 4.655 6.161 112.19 90.00 119.99
Fractional positions:
In1 0.128 0.256 0.026
Ga1 0.406 0.811 0.859
Sr1 0.619 0.238 0.498
Li1 0.814 0.628 0.084

Calculated values
For the formation enthalpy at 0 K, the calculation gives -0.337 eV/atom. Its space group is R3m (160). As for the crystal system: trigonal.

=====

Record 7
VASP calculation (PBE-GGA) on a relaxed structure of Sr2LiIn6Ga.

Lattice parameters (Å, degrees): 7.430 7.586 7.586 47.03 88.75 107.79
Fractional positions:
In1 0.578 0.747 0.165
In2 0.422 0.253 0.835
In3 0.802 0.302 0.006
In4 0.198 0.193 0.500
In5 0.198 0.698 0.994
In6 0.802 0.807 0.500
Ga1 0.000 0.000 0.000
Sr1 0.249 0.743 0.496
Sr2 0.751 0.257 0.504
Li1 0.500 0.500 0.000

Calculated values
For the formation enthalpy at 0 K, the calculation gives -0.232 eV/atom. Its space group is P-1 (2). As for the crystal system: triclinic.

=====

Record 8
VASP calculation (PBE-GGA) on a relaxed structure of Sr2LiIn4Ga3.

Lattice parameters (Å, degrees): 4.605 4.605 12.044 90.00 90.00 90.00
Fractional positions:
Sr1 0.500 0.000 0.247
Sr2 0.000 0.500 0.753
Li1 0.500 0.500 0.500
Ga1 0.500 0.000 0.857
Ga2 0.000 0.000 0.500
Ga3 0.000 0.500 0.143
In1 0.000 0.000 0.000
In2 0.500 0.000 0.631
In3 0.500 0.500 0.000
In4 0.000 0.500 0.369

Calculated values
For the formation enthalpy at 0 K, the calculation gives -0.344 eV/atom. Its space group is P-4m2 (115). As for the crystal system: tetragonal.

=====

Record 9
VASP calculation (PBE-GGA) on a relaxed structure of LiTbInGa.

Lattice parameters (Å, degrees): 4.996 4.996 4.996 60.00 60.00 60.00
Fractional positions:
Tb1 0.000 0.000 0.000
In1 0.750 0.750 0.750
Ga1 0.250 0.250 0.250
Li1 0.500 0.500 0.500

Calculated values
For the formation enthalpy at 0 K, the calculation gives -0.402 eV/atom. Its space group is F-43m (216). As for the crystal system: cubic.

=====

Record 10
VASP calculation (PBE-GGA) on a relaxed structure of LiInGaTc.

Lattice parameters (Å, degrees): 4.494 4.494 4.494 60.00 60.00 60.00
Fractional positions:
Li1 0.000 0.000 0.000
Ga1 0.750 0.750 0.750
Tc1 0.500 0.500 0.500
In1 0.250 0.250 0.250

Calculated values
For the formation enthalpy at 0 K, the calculation gives -0.008 eV/atom. Its space group is F-43m (216). As for the crystal system: cubic.

=====

Record 11
VASP calculation (PBE-GGA) on a relaxed structure of LiThInGa.

Lattice parameters (Å, degrees): 5.131 5.131 5.131 60.00 60.00 60.00
Fractional positions:
In1 0.500 0.500 0.500
Ga1 0.000 0.000 0.000
Th1 0.750 0.750 0.750
Li1 0.250 0.250 0.250

Calculated values
For the formation enthalpy at 0 K, the calculation gives -0.230 eV/atom. Its space group is F-43m (216). As for the crystal system: cubic.

=====

Record 12
VASP calculation (PBE-GGA) on a relaxed structure of Li2TlInGa.

Lattice parameters (Å, degrees): 5.024 5.406 5.024 90.00 90.00 90.00
Fractional positions:
In1 0.500 0.500 0.500
Li1 0.500 0.000 0.000
Li2 0.000 0.000 0.500
Tl1 0.000 0.500 0.000
Ga1 0.000 0.000 0.000

Calculated values
For the formation enthalpy at 0 K, the calculation gives 0.117 eV/atom. Its space group is P4/mmm (123). As for the crystal system: tetragonal.

=====

Record 13
VASP calculation (PBE-GGA) on a relaxed structure of LiTlInGa.

Lattice parameters (Å, degrees): 5.040 5.040 5.040 60.00 60.00 60.00
Fractional positions:
In1 0.000 0.000 0.000
Li1 0.750 0.750 0.750
Tl1 0.500 0.500 0.500
Ga1 0.250 0.250 0.250

Calculated values
For the formation enthalpy at 0 K, the calculation gives -0.070 eV/atom. Its space group is F-43m (216). As for the crystal system: cubic.

=====

Record 14
VASP calculation (PBE-GGA) on a relaxed structure of LiTmInGa.

Lattice parameters (Å, degrees): 3.262 5.677 5.126 90.00 90.00 90.00
Fractional positions:
Ga1 0.000 0.500 0.000
Li1 0.000 0.000 0.500
Tm1 0.500 0.500 0.500
In1 0.000 0.000 0.000

Calculated values
The value obtained for the energy above the most stable polymorph in this dataset is 351 meV/atom. For the formation enthalpy at 0 K, the calculation gives -0.032 eV/atom. Its space group is Pmmm (47). As for the crystal system: orthorhombic.

=====

Calculated total moment, 0.00, 0.00, 0.00, 0.00, 0.00, 0.00, 0.00, 0.00, 0.00, 0.00, 0.00, 0.00, 0.00, 0.00 μB/atom (same order as the records).